Ca2AcPmHg4, relaxed, DFT PBE-GGA; DFT formation energy = -0.54 eV/atom; SG = R-3m (166)
1.0
2.7290 1.5756 8.9486
-2.7290 1.5756 8.9486
0.0000 -3.1512 8.9486
Ca Ac Pm Hg
2 1 1 4
direct
0.2481 0.2481 0.2481
0.7519 0.7519 0.7519
0.0000 0.0000 0.0000
0.5000 0.5000 0.5000
0.1278 0.1278 0.1278
0.3794 0.3794 0.3794
0.6206 0.6206 0.6206
0.8722 0.8722 0.8722

CaAcPm2Hg4, relaxed, DFT PBE-GGA; DFT formation energy = -0.49 eV/atom; SG = R-3m (166)
1.0
2.7082 1.5636 9.1412
-2.7082 1.5636 9.1412
0.0000 -3.1271 9.1412
Ca Ac Pm Hg
1 1 2 4
direct
0.0000 0.0000 0.0000
0.5000 0.5000 0.5000
0.2550 0.2550 0.2550
0.7450 0.7450 0.7450
0.1189 0.1189 0.1189
0.3731 0.3731 0.3731
0.6269 0.6269 0.6269
0.8811 0.8811 0.8811

CaAcPmHg, relaxed, DFT PBE-GGA; DFT formation energy = -0.24 eV/atom; distance to the lowest polymorph of the same formula = 0.00 eV per formula unit; SG = P4mm (99)
1.0
3.7934 0.0000 0.0000
0.0000 3.7934 0.0000
0.0000 0.0000 9.6308
Ca Ac Pm Hg
1 1 1 1
direct
0.0000 0.0000 0.0000
0.5000 0.5000 0.3224
0.0000 0.0000 0.6033
0.5000 0.5000 0.8011

Ca2AcPrHg4, relaxed, DFT PBE-GGA; DFT formation energy = -0.54 eV/atom; SG = R-3m (166)
1.0
2.7431 1.5837 8.9670
-2.7431 1.5837 8.9670
0.0000 -3.1675 8.9670
Ca Ac Pr Hg
2 1 1 4
direct
0.2485 0.2485 0.2485
0.7515 0.7515 0.7515
0.0000 0.0000 0.0000
0.5000 0.5000 0.5000
0.1271 0.1271 0.1271
0.3782 0.3782 0.3782
0.6218 0.6218 0.6218
0.8729 0.8729 0.8729

CaAcHgSb, relaxed, DFT PBE-GGA; ΔE_f (raw) = -681 meV per atom; SG = F-43m (216)
1.0
0.0000 3.9658 3.9658
3.9658 0.0000 3.9658
3.9658 3.9658 0.0000
Ca Ac Hg Sb
1 1 1 1
direct
0.0000 0.0000 0.0000
0.5000 0.5000 0.5000
0.2500 0.2500 0.2500
0.7500 0.7500 0.7500

CaAcSiHg, relaxed, DFT PBE-GGA; ΔE_f (raw) = -433 meV per atom; SG = F-43m (216)
1.0
0.0000 3.8422 3.8422
3.8422 0.0000 3.8422
3.8422 3.8422 0.0000
Ca Ac Si Hg
1 1 1 1
direct
0.0000 0.0000 0.0000
0.5000 0.5000 0.5000
0.7500 0.7500 0.7500
0.2500 0.2500 0.2500

CaAcSmHg, relaxed, DFT PBE-GGA; DFT formation energy = -0.24 eV/atom; distance to the lowest polymorph of the same formula = 0.00 eV per formula unit; SG = P4mm (99)
1.0
3.7852 0.0000 0.0000
0.0000 3.7852 0.0000
0.0000 0.0000 9.6165
Ca Ac Sm Hg
1 1 1 1
direct
0.0000 0.0000 0.0000
0.5000 0.5000 0.3235
0.0000 0.0000 0.6041
0.5000 0.5000 0.7994

CaAcSmHg, relaxed, DFT PBE-GGA; DFT formation energy = 0.05 eV/atom; distance to the lowest polymorph of the same formula = 1.14 eV per formula unit; SG = F-43m (216)
1.0
0.0000 4.0568 4.0568
4.0568 0.0000 4.0568
4.0568 4.0568 0.0000
Ca Ac Sm Hg
1 1 1 1
direct
0.0000 0.0000 0.0000
0.2500 0.2500 0.2500
0.5000 0.5000 0.5000
0.7500 0.7500 0.7500

Ca2AcSn2Hg2, relaxed, DFT PBE-GGA; DFT formation energy = -0.48 eV/atom; SG = R-3m (166)
1.0
2.5406 1.4668 9.2508
-2.5406 1.4668 9.2508
0.0000 -2.9336 9.2508
Ca Ac Sn Hg
2 1 2 2
direct
0.1356 0.1356 0.1356
0.8644 0.8644 0.8644
0.0000 0.0000 0.0000
0.2621 0.2621 0.2621
0.7379 0.7379 0.7379
0.4384 0.4384 0.4384
0.5616 0.5616 0.5616

CaAcSn2Hg2, relaxed, DFT PBE-GGA; DFT formation energy = -0.52 eV/atom; SG = P-3m1 (164)
1.0
4.9291 0.0000 0.0000
-2.4645 4.2687 0.0000
0.0000 0.0000 8.4433
Ca Ac Sn Hg
1 1 2 2
direct
0.0000 0.0000 0.0000
0.0000 0.0000 0.5000
0.3333 0.6667 0.7828
0.6667 0.3333 0.2172
0.3333 0.6667 0.2795
0.6667 0.3333 0.7205

CaAcSnHg, relaxed, DFT PBE-GGA; DFT formation energy = -0.61 eV/atom; SG = F-43m (216)
1.0
0.0000 3.9699 3.9699
3.9699 0.0000 3.9699
3.9699 3.9699 0.0000
Ca Ac Sn Hg
1 1 1 1
direct
0.0000 0.0000 0.0000
0.5000 0.5000 0.5000
0.7500 0.7500 0.7500
0.2500 0.2500 0.2500

SrCaAc2Hg4, relaxed, DFT PBE-GGA; DFT formation energy = -0.53 eV/atom; SG = R-3m (166)
1.0
2.8117 1.6233 9.1907
-2.8117 1.6233 9.1907
0.0000 -3.2467 9.1907
Sr Ca Ac Hg
1 1 2 4
direct
0.0000 0.0000 0.0000
0.5000 0.5000 0.5000
0.2486 0.2486 0.2486
0.7514 0.7514 0.7514
0.1261 0.1261 0.1261
0.3765 0.3765 0.3765
0.6235 0.6235 0.6235
0.8739 0.8739 0.8739

no.,raw total energy (eV per atom)
1,-2.30
2,-2.59
3,-3.03
4,-2.30
5,-3.32
6,-3.39
7,-3.02
8,-2.74
9,-2.86
10,-2.97
11,-3.21
12,-2.17